Entry 1:
DFT (PBE) results for an optimized crystal structure of LiDy2Hg.

Output
ΔH_f (0 K) ... -229.9 meV/atom
Total magnetization ... 0.00 μB per atom
Density of states at the Fermi level ... 0.816 states/eV per atom
Electronic total energy ... -3.0848 eV per atom

a b c (Å): 5.1476 5.1476 3.7966
angles (deg): 90.00 90.00 90.00
Sites, in units of the cell vectors:
Li: 0.0000 0.0000 0.0000
Dy: 0.0000 0.5000 0.5000
Dy: 0.5000 0.0000 0.5000
Hg: 0.5000 0.5000 0.0000

Entry 2:
DFT (PBE) results for an optimized crystal structure of CeDy14Sc.

Output
ΔH_f (0 K) ... 32.2 meV/atom
Total magnetization ... 0.05 μB per atom
Density of states at the Fermi level ... 1.351 states/eV per atom
Electronic total energy ... -4.7613 eV per atom

a b c (Å): 7.0459 7.0459 9.9568
angles (deg): 90.00 90.00 90.00
Sites, in units of the cell vectors:
Ce: 0.0000 0.0000 0.0000
Dy: 0.0000 0.0000 0.5000
Dy: 0.0000 0.5000 0.0000
Dy: 0.0000 0.5000 0.5000
Dy: 0.2506 0.2506 0.2470
Dy: 0.2506 0.2506 0.7530
Dy: 0.2506 0.7494 0.2470
Dy: 0.2506 0.7494 0.7530
Dy: 0.5000 0.0000 0.0000
Dy: 0.5000 0.0000 0.5000
Dy: 0.5000 0.5000 0.5000
Dy: 0.7494 0.2506 0.2470
Dy: 0.7494 0.2506 0.7530
Dy: 0.7494 0.7494 0.2470
Dy: 0.7494 0.7494 0.7530
Sc: 0.5000 0.5000 0.0000

Entry 3:
DFT (PBE) results for an optimized crystal structure of TlCu4Si.

Output
Formation energy from raw total energies ... 1.57 eV per formula unit
Total magnetization ... 0.00 μB per atom
Density of states at the Fermi level ... 0.586 states/eV per atom
Electronic total energy ... -3.7675 eV per atom

a b c (Å): 5.0072 5.0072 5.0072
angles (deg): 60.00 60.00 60.00
Sites, in units of the cell vectors:
Tl: 0.0000 0.0000 0.0000
Cu: 0.3755 0.3755 0.3755
Cu: 0.3755 0.3755 0.8734
Cu: 0.3755 0.8734 0.3755
Cu: 0.8734 0.3755 0.3755
Si: 0.7500 0.7500 0.7500

Question: The highest electronic total energy belongs to which entry?
Answer: LiDy2Hg